Record 1
## Mn2Sb2Pd7 (PBE-GGA)

Data for a geometry-optimized Mn2Sb2Pd7 structure.

a b c (Å): 3.477 7.839 7.839
angles (deg): 65.63 102.86 102.86
Each line ends with the local moment (μB).
Positions (direct):
Pd: 0.122 0.622 0.622  0.14
Pd: 0.342 0.081 0.603  0.07
Pd: 0.500 0.000 0.000  0.23
Pd: 0.342 0.603 0.081  0.07
Pd: 0.878 0.378 0.378  0.14
Pd: 0.658 0.397 0.919  0.07
Pd: 0.658 0.919 0.397  0.07
Mn: 0.000 0.750 0.250  3.95
Mn: 0.000 0.250 0.750  3.95
Sb: 0.203 0.203 0.203  -0.02
Sb: 0.797 0.797 0.797  -0.02

Values from the calculation:
The crystal system is orthorhombic. For the formation energy (no corrections), the calculation gives -0.246 eV/atom.

Record 2
## La6InSi2I3 (PBE-GGA)

Data for a geometry-optimized La6InSi2I3 structure.

a b c (Å): 4.426 9.484 10.350
angles (deg): 104.81 102.35 90.00
Positions (direct):
I: 0.836 0.166 0.672
I: 0.500 0.500 0.000
I: 0.164 0.834 0.328
In: 0.500 0.000 0.000
La: 0.015 0.250 0.030
La: 0.665 0.124 0.329
La: 0.678 0.560 0.355
La: 0.985 0.750 0.970
La: 0.335 0.876 0.671
La: 0.322 0.440 0.645
Si: 0.169 0.339 0.337
Si: 0.831 0.661 0.663

Values from the calculation:
The crystal system is monoclinic. For the formation energy (no corrections), the calculation gives -0.907 eV/atom.

Record 3
## Cd2CoMo (PBE-GGA)

Data for a geometry-optimized Cd2CoMo structure.

a b c (Å): 4.610 2.726 5.471
angles (deg): 77.77 90.00 90.00
Each line ends with the local moment (μB).
Positions (direct):
Co: 0.500 0.250 0.250  1.65
Mo: 0.500 0.750 0.750  0.35
Cd: 0.000 0.424 0.492  -0.01
Cd: 0.000 0.076 0.008  -0.01

Values from the calculation:
The crystal system is monoclinic.

Record 4
## Ac14SmSc (PBE-GGA)

Data for a geometry-optimized Ac14SmSc structure.

a b c (Å): 7.849 7.849 11.154
angles (deg): 90.00 90.00 90.00
Positions (direct):
Ac: 0.127 0.873 0.759
Ac: 0.623 0.873 0.242
Ac: 0.874 0.624 0.000
Ac: 0.127 0.873 0.241
Ac: 0.374 0.124 0.500
Ac: 0.875 0.125 0.500
Ac: 0.127 0.377 0.242
Ac: 0.623 0.873 0.758
Ac: 0.376 0.126 0.000
Ac: 0.127 0.377 0.758
Ac: 0.623 0.377 0.758
Ac: 0.623 0.377 0.242
Ac: 0.876 0.626 0.500
Ac: 0.375 0.625 0.500
Sm: 0.875 0.125 0.000
Sc: 0.375 0.625 0.000

Values from the calculation:
The crystal system is orthorhombic.

Record 5
## Ba2PmPb (PBE-GGA)

Data for a geometry-optimized Ba2PmPb structure.

a b c (Å): 3.961 3.961 13.686
angles (deg): 81.68 81.68 60.00
Positions (direct):
Pb: 0.000 0.000 0.000
Ba: 0.912 0.912 0.263
Ba: 0.088 0.088 0.737
Pm: 0.500 0.500 0.500

Values from the calculation:
The crystal system is trigonal.

Record 6
## RbLa2Cu2 (PBE-GGA)

Data for a geometry-optimized RbLa2Cu2 structure.

a b c (Å): 8.852 8.852 3.860
angles (deg): 90.00 90.00 90.00
Positions (direct):
La: 0.854 0.354 0.500
La: 0.354 0.146 0.500
La: 0.146 0.646 0.500
La: 0.646 0.854 0.500
Cu: 0.115 0.385 0.000
Cu: 0.385 0.885 0.000
Cu: 0.615 0.115 0.000
Cu: 0.885 0.615 0.000
Rb: 0.000 0.000 0.000
Rb: 0.500 0.500 0.000

Values from the calculation:
The crystal system is tetragonal.

Record 7
## SrGe2Os (PBE-GGA)

Data for a geometry-optimized SrGe2Os structure.

a b c (Å): 4.723 4.723 4.723
angles (deg): 60.00 60.00 60.00
Positions (direct):
Sr: 0.000 0.000 0.000
Ge: 0.750 0.750 0.750
Ge: 0.250 0.250 0.250
Os: 0.500 0.500 0.500

Values from the calculation:
The crystal system is cubic.

Record 8
## GeSbTeI2 (PBE-GGA)

Data for a geometry-optimized GeSbTeI2 structure.

a b c (Å): 5.885 5.885 5.938
angles (deg): 90.00 90.00 90.00
Each line ends with the local moment (μB).
Positions (direct):
Te: 0.000 0.000 0.500  -0.11
I: 0.000 0.500 0.000  -0.01
I: 0.500 0.000 0.000  -0.01
Ge: 0.500 0.500 0.500  0.36
Sb: 0.000 0.000 0.000  0.04

Values from the calculation:
The crystal system is tetragonal. For the formation energy (no corrections), the calculation gives 0.490 eV/atom.

DFT total energy list, top to bottom, in eV per formula unit: -65.63; -58.68; -17.69; -67.87; -11.41; -18.07; -21.48; -12.53